First-principles (GGA-PBE) data for a relaxed BePdSO crystal, as listed in the Open Quantum Materials Database.

a = 3.8867 Å, b = 3.8867 Å, c = 7.5342 Å
α = 90.00°, β = 90.00°, γ = 90.00°
With the nearest neighbours (Å) after each atom.
Fractional positions:
Be 0.2500 0.2500 0.1128  1 S 1.98
Be 0.7500 0.7500 0.8872  1 S 1.98
Pd 0.2500 0.2500 0.4120  4 O 2.05, 1 Be 2.25
Pd 0.7500 0.7500 0.5880  4 O 2.05, 1 Be 2.25
S 0.2500 0.2500 0.8505  1 Be 1.98
S 0.7500 0.7500 0.1495  1 Be 1.98
O 0.2500 0.7500 0.5000  4 Pd 2.05
O 0.7500 0.2500 0.5000  4 Pd 2.05

ΔE to the lowest computed polymorph in meV per atom: 1036
Crystal system: tetragonal